#a
# Pm4Zn3Rh | the Alexandria database | GGA-PBE | relaxed
# Theoretical density: 7.6 g cm⁻³
# Volume: 191 Å³/cell
data_Pm4Zn3Rh
_space_group_name_H-M_alt 'P 4/m m m'
_space_group_IT_number 123
_space_group_name_Hall '-P 4 2'
_cell_length_a 3.635
_cell_length_b 3.635
_cell_length_c 14.456
_cell_angle_alpha 90.00
_cell_angle_beta 90.00
_cell_angle_gamma 90.00
loop_
_atom_site_label
_atom_site_fract_x
_atom_site_fract_y
_atom_site_fract_z
Pm1 0.000 0.000 0.115
Pm2 0.000 0.000 0.374
Zn1 0.500 0.500 0.248
Zn2 0.500 0.500 0.500
Rh1 0.500 0.500 0.000

---

#b
# Pm4Zn3Rh | the Alexandria database | GGA-PBE | relaxed
# Theoretical density: 7.4 g cm⁻³
# Volume: 197 Å³/cell
data_Pm4Zn3Rh
_space_group_name_H-M_alt 'P m m 2'
_space_group_IT_number 25
_space_group_name_Hall 'P 2 -2'
_cell_length_a 3.900
_cell_length_b 4.570
_cell_length_c 11.060
_cell_angle_alpha 90.00
_cell_angle_beta 90.00
_cell_angle_gamma 90.00
loop_
_atom_site_label
_atom_site_fract_x
_atom_site_fract_y
_atom_site_fract_z
Pm1 0.000 0.000 0.000
Pm2 0.000 0.500 0.269
Pm3 0.500 0.000 0.471
Pm4 0.500 0.500 0.778
Zn1 0.000 0.000 0.696
Zn2 0.000 0.500 0.556
Zn3 0.500 0.500 0.059
Rh1 0.500 0.000 0.202

---

Result of the stability comparison: #a is the most stable of them.

---

#a
# Pm8ZnRh2 | the Alexandria database | GGA-PBE | relaxed
# Theoretical density: 7.4 g cm⁻³
# Volume: 644 Å³/cell
data_Pm8ZnRh2
_space_group_name_H-M_alt 'C 1 m 1'
_space_group_IT_number 8
_space_group_name_Hall 'C -2y'
_cell_length_a 8.573
_cell_length_b 13.740
_cell_length_c 5.735
_cell_angle_alpha 90.00
_cell_angle_beta 107.51
_cell_angle_gamma 90.00
loop_
_atom_site_label
_atom_site_fract_x
_atom_site_fract_y
_atom_site_fract_z
Pm1 0.000 0.000 0.000
Pm2 0.097 0.376 0.751
Pm3 0.173 0.124 0.617
Pm4 0.271 0.500 0.369
Pm5 0.385 0.235 0.184
Zn1 0.386 0.000 0.168
Rh1 0.385 0.289 0.684

---

#b
# Pm8ZnRh2 | the Alexandria database | GGA-PBE | relaxed
# Theoretical density: 7.7 g cm⁻³
# Volume: 618 Å³/cell
data_Pm8ZnRh2
_space_group_name_H-M_alt 'C 1 2/m 1'
_space_group_IT_number 12
_space_group_name_Hall '-C 2y'
_cell_length_a 18.518
_cell_length_b 5.230
_cell_length_c 6.808
_cell_angle_alpha 90.00
_cell_angle_beta 110.41
_cell_angle_gamma 90.00
loop_
_atom_site_label
_atom_site_fract_x
_atom_site_fract_y
_atom_site_fract_z
Pm1 0.030 0.000 0.286
Pm2 0.095 0.500 0.981
Pm3 0.178 0.500 0.509
Pm4 0.199 0.000 0.843
Zn1 0.000 0.500 0.500
Rh1 0.166 0.000 0.225

---

Result of the stability comparison: #b is the most stable of them.

---

#a
# Pm4ZnRh | the Alexandria database | GGA-PBE | relaxed
# Theoretical density: 7.6 g cm⁻³
# Volume: 2613 Å³/cell
data_Pm4ZnRh
_space_group_name_H-M_alt 'F -4 3 m'
_space_group_IT_number 216
_space_group_name_Hall 'F -4 2 3'
_cell_length_a 13.773
_cell_length_b 13.773
_cell_length_c 13.773
_cell_angle_alpha 90.00
_cell_angle_beta 90.00
_cell_angle_gamma 90.00
loop_
_atom_site_label
_atom_site_fract_x
_atom_site_fract_y
_atom_site_fract_z
Pm1 0.000 0.000 0.187
Pm2 0.058 0.250 0.750
Pm3 0.103 0.103 0.397
Zn1 0.171 0.171 0.171
Rh1 0.107 0.107 0.607

---

#b
# Pm4ZnRh | the Alexandria database | GGA-PBE | relaxed
# Theoretical density: 7.0 g cm⁻³
# Volume: 178 Å³/cell
data_Pm4ZnRh
_space_group_name_H-M_alt 'P -1'
_space_group_IT_number 2
_space_group_name_Hall '-P 1'
_cell_length_a 4.852
_cell_length_b 5.217
_cell_length_c 7.117
_cell_angle_alpha 80.98
_cell_angle_beta 89.85
_cell_angle_gamma 89.98
loop_
_atom_site_label
_atom_site_fract_x
_atom_site_fract_y
_atom_site_fract_z
Pm1 0.001 0.045 0.241
Pm2 0.499 0.449 0.761
Zn1 0.500 0.000 0.500
Rh1 0.000 0.500 0.000

---

Result of the stability comparison: #a is the most stable of them.

---

#a
# Pm2Zn2Rh | the Alexandria database | GGA-PBE | relaxed
# Theoretical density: 7.5 g cm⁻³
# Volume: 462 Å³/cell
data_Pm2Zn2Rh
_space_group_name_H-M_alt 'C 1 2/m 1'
_space_group_IT_number 12
_space_group_name_Hall '-C 2y'
_cell_length_a 11.120
_cell_length_b 3.981
_cell_length_c 11.633
_cell_angle_alpha 90.00
_cell_angle_beta 116.33
_cell_angle_gamma 90.00
loop_
_atom_site_label
_atom_site_fract_x
_atom_site_fract_y
_atom_site_fract_z
Pm1 0.065 0.000 0.357
Pm2 0.206 0.000 0.119
Zn1 0.014 0.500 0.887
Zn2 0.123 0.500 0.582
Rh1 0.225 0.500 0.307

---

#b
# Pm2Zn2Rh | the Alexandria database | GGA-PBE | relaxed
# Theoretical density: 7.7 g cm⁻³
# Volume: 450 Å³/cell
data_Pm2Zn2Rh
_space_group_name_H-M_alt 'C 1 2/m 1'
_space_group_IT_number 12
_space_group_name_Hall '-C 2y'
_cell_length_a 10.774
_cell_length_b 3.957
_cell_length_c 11.264
_cell_angle_alpha 90.00
_cell_angle_beta 110.61
_cell_angle_gamma 90.00
loop_
_atom_site_label
_atom_site_fract_x
_atom_site_fract_y
_atom_site_fract_z
Pm1 0.003 0.000 0.338
Pm2 0.194 0.000 0.122
Zn1 0.025 0.500 0.892
Zn2 0.173 0.500 0.547
Rh1 0.198 0.500 0.311

---

Result of the stability comparison: #b is the most stable of them.

---

#a
# Pm2Zn3Rh | the Alexandria database | GGA-PBE | relaxed
# Theoretical density: 7.9 g cm⁻³
# Volume: 248 Å³/cell
data_Pm2Zn3Rh
_space_group_name_H-M_alt 'C 1 m 1'
_space_group_IT_number 8
_space_group_name_Hall 'C -2y'
_cell_length_a 10.267
_cell_length_b 4.401
_cell_length_c 7.099
_cell_angle_alpha 90.00
_cell_angle_beta 129.50
_cell_angle_gamma 90.00
loop_
_atom_site_label
_atom_site_fract_x
_atom_site_fract_y
_atom_site_fract_z
Pm1 0.000 0.000 0.000
Pm2 0.103 0.000 0.607
Zn1 0.217 0.500 0.026
Zn2 0.222 0.500 0.416
Zn3 0.381 0.000 0.218
Rh1 0.399 0.000 0.630

---

#b
# Pm2Zn3Rh | the Alexandria database | GGA-PBE | relaxed
# Theoretical density: 7.6 g cm⁻³
# Volume: 128 Å³/cell
data_Pm2Zn3Rh
_space_group_name_H-M_alt 'P m m 2'
_space_group_IT_number 25
_space_group_name_Hall 'P 2 -2'
_cell_length_a 3.727
_cell_length_b 4.430
_cell_length_c 7.765
_cell_angle_alpha 90.00
_cell_angle_beta 90.00
_cell_angle_gamma 90.00
loop_
_atom_site_label
_atom_site_fract_x
_atom_site_fract_y
_atom_site_fract_z
Pm1 0.000 0.000 0.000
Pm2 0.000 0.500 0.450
Zn1 0.500 0.000 0.642
Zn2 0.500 0.500 0.133
Zn3 0.500 0.500 0.804
Rh1 0.500 0.000 0.306

---

Result of the stability comparison: #a is the most stable of them.

---

#a
# PmSbRu | the Alexandria database | GGA-PBE | relaxed
# Theoretical density: 8.9 g cm⁻³
# Volume: 69 Å³/cell
data_PmSbRu
_space_group_name_H-M_alt 'P -6 m 2'
_space_group_IT_number 187
_space_group_name_Hall 'P -6 2'
_cell_length_a 4.6154
_cell_length_b 4.6154
_cell_length_c 3.7396
_cell_angle_alpha 90.00
_cell_angle_beta 90.00
_cell_angle_gamma 120.00
loop_
_atom_site_label
_atom_site_fract_x
_atom_site_fract_y
_atom_site_fract_z
Pm1 0.0000 0.0000 0.0000
Sb1 0.3333 0.6667 0.5000
Ru1 0.6667 0.3333 0.5000

---

#b
# PmSbRu | the Alexandria database | GGA-PBE | relaxed
# Theoretical density: 8.3 g cm⁻³
# Volume: 73 Å³/cell
data_PmSbRu
_space_group_name_H-M_alt 'P m m m'
_space_group_IT_number 47
_space_group_name_Hall '-P 2 2'
_cell_length_a 3.493
_cell_length_b 4.378
_cell_length_c 4.803
_cell_angle_alpha 90.00
_cell_angle_beta 90.00
_cell_angle_gamma 90.00
loop_
_atom_site_label
_atom_site_fract_x
_atom_site_fract_y
_atom_site_fract_z
Pm1 0.000 0.000 0.000
Sb1 0.000 0.500 0.500
Ru1 0.500 0.000 0.500

---

Result of the stability comparison: #a is the most stable of them.

---

#a
# Pm4Sb2Ru | the Alexandria database | GGA-PBE | relaxed
# Theoretical density: 6.8 g cm⁻³
# Volume: 451 Å³/cell
data_Pm4Sb2Ru
_space_group_name_H-M_alt 'C 1 2/m 1'
_space_group_IT_number 12
_space_group_name_Hall '-C 2y'
_cell_length_a 15.501
_cell_length_b 4.418
_cell_length_c 7.469
_cell_angle_alpha 90.00
_cell_angle_beta 118.23
_cell_angle_gamma 90.00
loop_
_atom_site_label
_atom_site_fract_x
_atom_site_fract_y
_atom_site_fract_z
Pm1 0.112 0.000 0.260
Pm2 0.115 0.500 0.799
Sb1 0.240 0.000 0.738
Ru1 0.000 0.500 0.000

---

#b
# Pm4Sb2Ru | the Alexandria database | GGA-PBE | relaxed
# Theoretical density: 7.0 g cm⁻³
# Volume: 442 Å³/cell
data_Pm4Sb2Ru
_space_group_name_H-M_alt 'I 4/m m m'
_space_group_IT_number 139
_space_group_name_Hall '-I 4 2'
_cell_length_a 5.142
_cell_length_b 5.142
_cell_length_c 16.707
_cell_angle_alpha 90.00
_cell_angle_beta 90.00
_cell_angle_gamma 90.00
loop_
_atom_site_label
_atom_site_fract_x
_atom_site_fract_y
_atom_site_fract_z
Pm1 0.000 0.000 0.174
Pm2 0.000 0.500 0.000
Sb1 0.000 0.000 0.362
Ru1 0.000 0.000 0.000

---

Result of the stability comparison: #a is the most stable of them.

---

#a
# Pm2ScRu | the Alexandria database | GGA-PBE | relaxed
# Theoretical density: 7.0 g cm⁻³
# Volume: 104 Å³/cell
data_Pm2ScRu
_space_group_name_H-M_alt 'P 4/m m m'
_space_group_IT_number 123
_space_group_name_Hall '-P 4 2'
_cell_length_a 3.516
_cell_length_b 3.516
_cell_length_c 8.371
_cell_angle_alpha 90.00
_cell_angle_beta 90.00
_cell_angle_gamma 90.00
loop_
_atom_site_label
_atom_site_fract_x
_atom_site_fract_y
_atom_site_fract_z
Pm1 0.000 0.000 0.204
Sc1 0.500 0.500 0.500
Ru1 0.500 0.500 0.000

---

#b
# Pm2ScRu | the Alexandria database | GGA-PBE | relaxed
# Theoretical density: 6.6 g cm⁻³
# Volume: 328 Å³/cell
data_Pm2ScRu
_space_group_name_H-M_alt 'R -3 m'
_space_group_IT_number 166
_space_group_name_Hall '-R 3 2"'
_cell_length_a 3.4728
_cell_length_b 3.4728
_cell_length_c 31.3623
_cell_angle_alpha 90.00
_cell_angle_beta 90.00
_cell_angle_gamma 120.00
loop_
_atom_site_label
_atom_site_fract_x
_atom_site_fract_y
_atom_site_fract_z
Pm1 0.0000 0.0000 0.1027
Sc1 0.0000 0.0000 0.0000
Ru1 0.0000 0.0000 0.5000

---

Result of the stability comparison: #a is the most stable of them.

---

#a
# Pm2RuSe | the Alexandria database | GGA-PBE | relaxed
# Theoretical density: 7.5 g cm⁻³
# Volume: 312 Å³/cell
data_Pm2RuSe
_space_group_name_H-M_alt 'R -3 m'
_space_group_IT_number 166
_space_group_name_Hall '-R 3 2"'
_cell_length_a 4.0792
_cell_length_b 4.0792
_cell_length_c 21.6206
_cell_angle_alpha 90.00
_cell_angle_beta 90.00
_cell_angle_gamma 120.00
loop_
_atom_site_label
_atom_site_fract_x
_atom_site_fract_y
_atom_site_fract_z
Pm1 0.0000 0.0000 0.2429
Ru1 0.0000 0.0000 0.5000
Se1 0.0000 0.0000 0.0000

---

#b
# Pm2RuSe | the Alexandria database | GGA-PBE | relaxed
# Theoretical density: 8.4 g cm⁻³
# Volume: 93 Å³/cell
data_Pm2RuSe
_space_group_name_H-M_alt 'P 4/m m m'
_space_group_IT_number 123
_space_group_name_Hall '-P 4 2'
_cell_length_a 3.539
_cell_length_b 3.539
_cell_length_c 7.403
_cell_angle_alpha 90.00
_cell_angle_beta 90.00
_cell_angle_gamma 90.00
loop_
_atom_site_label
_atom_site_fract_x
_atom_site_fract_y
_atom_site_fract_z
Pm1 0.000 0.000 0.235
Ru1 0.500 0.500 0.000
Se1 0.500 0.500 0.500

---

Result of the stability comparison: #b is the most stable of them.

---

#a
# PmSi3Ru3 | the Alexandria database | GGA-PBE | relaxed
# Theoretical density: 6.5 g cm⁻³
# Volume: 273 Å³/cell
data_PmSi3Ru3
_space_group_name_H-M_alt 'P m -3 n'
_space_group_IT_number 223
_space_group_name_Hall '-P 4n 2 3'
_cell_length_a 6.485
_cell_length_b 6.485
_cell_length_c 6.485
_cell_angle_alpha 90.00
_cell_angle_beta 90.00
_cell_angle_gamma 90.00
loop_
_atom_site_label
_atom_site_fract_x
_atom_site_fract_y
_atom_site_fract_z
Pm1 0.000 0.000 0.000
Si1 0.000 0.250 0.500
Ru1 0.000 0.500 0.250

---

#b
# PmSi3Ru3 | the Alexandria database | GGA-PBE | relaxed
# Theoretical density: 8.1 g cm⁻³
# Volume: 437 Å³/cell
data_PmSi3Ru3
_space_group_name_H-M_alt 'P 21 3'
_space_group_IT_number 198
_space_group_name_Hall 'P 2ac 2ab 3'
_cell_length_a 7.590
_cell_length_b 7.590
_cell_length_c 7.590
_cell_angle_alpha 90.00
_cell_angle_beta 90.00
_cell_angle_gamma 90.00
loop_
_atom_site_label
_atom_site_fract_x
_atom_site_fract_y
_atom_site_fract_z
Pm1 0.055 0.445 0.555
Si1 0.004 0.811 0.580
Ru1 0.106 0.606 0.894
Ru2 0.174 0.174 0.174
Ru3 0.215 0.785 0.285

---

Result of the stability comparison: #b is the most stable of them.

---

#a
# PmSmRu | the Alexandria database | GGA-PBE | relaxed
# Theoretical density: 7.7 g cm⁻³
# Volume: 171 Å³/cell
data_PmSmRu
_space_group_name_H-M_alt 'P -6 m 2'
_space_group_IT_number 187
_space_group_name_Hall 'P -6 2'
_cell_length_a 4.8526
_cell_length_b 4.8526
_cell_length_c 8.3922
_cell_angle_alpha 90.00
_cell_angle_beta 90.00
_cell_angle_gamma 120.00
loop_
_atom_site_label
_atom_site_fract_x
_atom_site_fract_y
_atom_site_fract_z
Pm1 0.0000 0.0000 0.2474
Sm1 0.3333 0.6667 0.5000
Sm2 0.6667 0.3333 0.0000
Ru1 0.3333 0.6667 0.1524

---

#b
# PmSmRu | the Alexandria database | GGA-PBE | relaxed
# Theoretical density: 8.1 g cm⁻³
# Volume: 163 Å³/cell
data_PmSmRu
_space_group_name_H-M_alt 'I 4 m m'
_space_group_IT_number 107
_space_group_name_Hall 'I 4 -2'
_cell_length_a 3.474
_cell_length_b 3.474
_cell_length_c 13.495
_cell_angle_alpha 90.00
_cell_angle_beta 90.00
_cell_angle_gamma 90.00
loop_
_atom_site_label
_atom_site_fract_x
_atom_site_fract_y
_atom_site_fract_z
Pm1 0.000 0.000 0.000
Sm1 0.000 0.000 0.750
Ru1 0.000 0.000 0.374

---

#c
# PmSmRu | the Alexandria database | GGA-PBE | relaxed
# Theoretical density: 8.1 g cm⁻³
# Volume: 326 Å³/cell
data_PmSmRu
_space_group_name_H-M_alt 'C 1 2/m 1'
_space_group_IT_number 12
_space_group_name_Hall '-C 2y'
_cell_length_a 11.984
_cell_length_b 3.949
_cell_length_c 8.419
_cell_angle_alpha 90.00
_cell_angle_beta 125.05
_cell_angle_gamma 90.00
loop_
_atom_site_label
_atom_site_fract_x
_atom_site_fract_y
_atom_site_fract_z
Pm1 0.076 0.000 0.374
Sm1 0.181 0.500 0.093
Ru1 0.121 0.500 0.696

---

#d
# PmSmRu | the Alexandria database | GGA-PBE | relaxed
# Theoretical density: 7.7 g cm⁻³
# Volume: 342 Å³/cell
data_PmSmRu
_space_group_name_H-M_alt 'C 1 2/m 1'
_space_group_IT_number 12
_space_group_name_Hall '-C 2y'
_cell_length_a 13.295
_cell_length_b 4.281
_cell_length_c 6.169
_cell_angle_alpha 90.00
_cell_angle_beta 103.32
_cell_angle_gamma 90.00
loop_
_atom_site_label
_atom_site_fract_x
_atom_site_fract_y
_atom_site_fract_z
Pm1 0.151 0.000 0.329
Sm1 0.103 0.500 0.817
Ru1 0.233 0.000 0.813

---

Result of the stability comparison: #c is the most stable of them.